Record 1
Compound: Ho4Sc3In
Source: the Alexandria database
Functional: GGA-PBE
Structure: optimized geometry

abc: 4.754 4.707 10.252
angles: 103.29 103.41 90.00
Site moments in Bohr magnetons follow the coordinates.
Sites, in units of the cell vectors:
Ho 0.245 0.745 0.490  -0.04
Ho 0.755 0.255 0.510  -0.04
Ho 0.619 0.619 0.238  0.07
Ho 0.381 0.381 0.762  0.07
Sc 0.000 0.500 0.000  0.24
Sc 0.118 0.118 0.237  0.08
Sc 0.882 0.882 0.763  0.08
In 0.500 0.000 0.000  -0.01

## Properties
SG: No. 71
ΔE_f: -0.092 eV/atom

Record 2
Compound: SrErS2
Source: the Alexandria database
Functional: GGA-PBE
Structure: optimized geometry

abc: 3.955 3.955 7.401
angles: 74.50 74.50 60.00
Sites, in units of the cell vectors:
Sr 0.495 0.495 0.514
Er 0.670 0.670 0.989
S 0.074 0.074 0.777
S 0.260 0.260 0.221

## Properties
SG: No. 160
ΔE_f (raw): -1939.4 meV/atom

Record 3
Compound: GaPd2Rh
Source: the Alexandria database
Functional: GGA-PBE
Structure: optimized geometry

abc: 4.087 5.650 5.443
angles: 70.26 90.00 90.00
Sites, in units of the cell vectors:
Ga 0.750 0.864 0.726
Ga 0.250 0.136 0.274
Pd 0.750 0.389 0.904
Pd 0.250 0.611 0.096
Pd 0.250 0.119 0.786
Pd 0.750 0.881 0.214
Rh 0.250 0.660 0.574
Rh 0.750 0.340 0.426

## Properties
SG: No. 11
ΔE_f: -0.370 eV/atom

Record 4
Compound: Os3Rh4
Source: the Alexandria database
Functional: GGA-PBE
Structure: optimized geometry

abc: 5.039 5.039 4.815
angles: 90.00 90.00 120.00
Sites, in units of the cell vectors:
Os 0.000 0.500 0.000
Os 0.500 0.500 0.000
Os 0.500 0.000 0.000
Rh 0.000 0.000 0.256
Rh 0.000 0.000 0.744
Rh 0.667 0.333 0.500
Rh 0.333 0.667 0.500

## Properties
SG: No. 191
ΔE_f: 0.407 eV/atom

Record 5
Compound: Pm2Ga3Au5
Source: the Alexandria database
Functional: GGA-PBE
Structure: optimized geometry

abc: 6.191 8.821 8.821
angles: 77.15 69.46 69.46
Sites, in units of the cell vectors:
Pm 0.134 0.594 0.138
Pm 0.634 0.138 0.594
Pm 0.866 0.406 0.862
Pm 0.366 0.862 0.406
Ga 0.365 0.518 0.753
Ga 0.865 0.753 0.518
Ga 0.635 0.482 0.247
Ga 0.135 0.247 0.482
Ga 0.250 0.000 0.000
Ga 0.750 0.000 0.000
Au 0.400 0.259 0.940
Au 0.900 0.940 0.259
Au 0.600 0.741 0.060
Au 0.100 0.060 0.741
Au 0.482 0.768 0.768
Au 0.518 0.232 0.232
Au 0.750 0.500 0.500
Au 0.250 0.500 0.500
Au 0.018 0.232 0.232
Au 0.982 0.768 0.768

## Properties
SG: No. 72
ΔE_f: -0.604 eV/atom

Record 6
Compound: CaPm3P4
Source: the Alexandria database
Functional: GGA-PBE
Structure: optimized geometry

abc: 7.165 7.163 8.279
angles: 90.00 90.00 109.54
Sites, in units of the cell vectors:
P 0.003 0.250 0.622
P 0.499 0.255 0.872
P 0.503 0.250 0.378
P 0.999 0.255 0.128
P 0.001 0.745 0.872
P 0.497 0.750 0.622
P 0.501 0.745 0.128
P 0.997 0.750 0.378
Ca 0.750 0.000 0.876
Ca 0.250 0.000 0.124
Pm 0.750 0.000 0.373
Pm 0.250 0.000 0.627
Pm 0.750 0.500 0.627
Pm 0.750 0.500 0.123
Pm 0.250 0.500 0.373
Pm 0.250 0.500 0.877

## Properties
SG: No. 13
ΔE_f: -1.365 eV/atom

Record 7
Compound: Zr4TlHg2
Source: the Alexandria database
Functional: GGA-PBE
Structure: optimized geometry

abc: 5.556 5.556 6.881
angles: 113.81 113.81 90.00
Sites, in units of the cell vectors:
Zr 0.750 0.250 0.500
Zr 0.250 0.750 0.500
Zr 0.500 0.000 0.000
Zr 0.000 0.500 0.000
Tl 0.000 0.000 0.000
Hg 0.638 0.638 0.275
Hg 0.362 0.362 0.725

## Properties
SG: No. 139
ΔE_f: 0.305 eV/atom

Record 8
Compound: MnTl2InBi
Source: the Alexandria database
Functional: GGA-PBE
Structure: optimized geometry

abc: 5.515 4.928 5.515
angles: 90.00 90.00 90.00
Site moments in Bohr magnetons follow the coordinates.
Sites, in units of the cell vectors:
Tl 0.000 0.000 0.500  -0.03
Tl 0.500 0.000 0.000  0.01
Mn 0.000 0.500 0.000  3.95
Bi 0.500 0.500 0.500  -0.15
In 0.000 0.000 0.000  -0.10

## Properties
SG: No. 123
ΔE_f: 0.728 eV/atom